1.
Below is a relaxed La2ZnSn crystal, with properties calculated at the PBE level.

The structure in POSCAR format:
```
La2ZnSn
1.0
-1.108 3.354 2.651
-2.688 -4.118 4.087
8.833 1.323 2.020
La Zn Sn
4 2 2
Direct
0.750 0.217 0.443 La
0.250 0.781 0.085 La
0.750 0.219 0.915 La
0.250 0.783 0.557 La
0.750 0.627 0.284 Zn
0.250 0.373 0.716 Zn
0.250 0.338 0.208 Sn
0.750 0.662 0.792 Sn
```

**Fermi-level density of states**: 10.056 states/eV/cell
**E_form**: -0.5500 eV/atom

=====

2.
Below is a relaxed Al3V4Ge crystal, with properties calculated at the PBE level.

The structure in POSCAR format:
```
Al3V4Ge
1.0
-0.914 5.463 1.556
1.303 -4.311 3.580
4.646 -2.221 -2.566
V Al Ge
4 3 1
Direct
0.087 0.756 0.331 V
0.084 0.253 0.338 V
0.084 0.747 0.831 V
0.576 0.244 0.331 V
0.584 0.746 0.330 Al
0.584 0.254 0.838 Al
0.841 0.000 0.841 Al
0.311 0.500 0.811 Ge
```

**Fermi-level density of states**: 6.794 states/eV/cell
**E_form**: 0.0299 eV/atom

=====

3.
Below is a relaxed NaInSnSe3 crystal, with properties calculated at the PBE level.

The structure in POSCAR format:
```
NaInSnSe3
1.0
4.219 0.000 0.000
0.000 8.617 0.515
0.000 -1.776 11.064
Se In Na Sn
6 2 2 2
Direct
0.250 0.799 0.494 Se
0.250 0.108 0.844 Se
0.250 0.629 0.900 Se
0.750 0.371 0.100 Se
0.750 0.892 0.156 Se
0.750 0.201 0.506 Se
0.750 0.914 0.382 In
0.250 0.086 0.618 In
0.250 0.132 0.122 Na
0.750 0.868 0.878 Na
0.250 0.609 0.139 Sn
0.750 0.391 0.861 Sn
```

**Formation energy from raw total energies**: -0.638 eV per atom

=====

4.
Below is a relaxed CaIn2Ni crystal, with properties calculated at the PBE level.

The structure in POSCAR format:
```
CaIn2Ni
1.0
-2.719 -0.178 -2.191
-0.754 -3.198 1.195
-4.398 2.986 5.217
In Ca Ni
2 1 1
Direct
0.500 0.500 0.306 In
0.000 0.000 0.032 In
0.500 0.500 0.719 Ca
0.000 0.000 0.442 Ni
```

**Fermi-level density of states**: 2.348 states/eV/cell
**E_form**: -0.1159 eV/atom

=====

5.
Below is a relaxed LiTbInAu crystal, with properties calculated at the PBE level.

The structure in POSCAR format:
```
LiTbInAu
1.0
-1.116 -4.517 1.417
2.460 -3.791 -1.799
3.064 -2.483 2.847
Li Au Tb In
1 1 1 1
Direct
0.750 0.750 0.750 Li
0.250 0.250 0.250 Au
0.500 0.500 0.500 Tb
0.000 0.000 0.000 In
```

**Fermi-level density of states**: 0.626 states/eV/cell
**E_form**: -0.6293 eV/atom

=====

6.
Below is a relaxed Zr2ZnPdPt5 crystal, with properties calculated at the PBE level.

The structure in POSCAR format:
```
Zr2ZnPdPt5
1.0
-5.914 -4.798 -2.629
5.400 -5.743 -1.665
-0.317 3.329 6.983
Zn Zr Pt Pd
2 4 10 2
Direct
0.750 0.750 0.500 Zn
0.250 0.250 0.500 Zn
0.879 0.621 0.000 Zr
0.379 0.879 0.000 Zr
0.121 0.379 0.000 Zr
0.621 0.121 0.000 Zr
0.936 0.436 0.268 Pt
0.669 0.169 0.732 Pt
0.831 0.936 0.268 Pt
0.064 0.564 0.732 Pt
0.436 0.331 0.268 Pt
0.564 0.669 0.732 Pt
0.000 0.000 0.000 Pt
0.331 0.831 0.268 Pt
0.169 0.064 0.732 Pt
0.500 0.500 0.000 Pt
0.750 0.250 0.500 Pd
0.250 0.750 0.500 Pd
```

**Fermi-level density of states**: 12.637 states/eV/cell
**E_form**: -0.2077 eV/atom

=====

7.
Below is a relaxed LiDy2Ir2 crystal, with properties calculated at the PBE level.

The structure in POSCAR format:
```
LiDy2Ir2
1.0
-3.344 4.056 1.005
-0.864 -4.917 2.719
5.674 3.671 4.063
Ir Li Dy
4 2 4
Direct
0.285 0.268 0.511 Ir
0.983 0.268 0.011 Ir
0.017 0.732 0.989 Ir
0.715 0.732 0.489 Ir
0.141 0.000 0.750 Li
0.859 0.000 0.250 Li
0.801 0.291 0.649 Dy
0.199 0.709 0.351 Dy
0.510 0.709 0.851 Dy
0.490 0.291 0.149 Dy
```

**Fermi-level density of states**: 4.504 states/eV/cell
**Polymorph energy (0 for the lowest one)**: 0.035 eV per atom
**E_form**: -0.6493 eV/atom

=====

8.
Below is a relaxed InRe2SCl crystal, with properties calculated at the PBE level.

The structure in POSCAR format:
```
InRe2SCl
1.0
4.376 0.000 0.000
0.000 6.453 0.000
0.000 0.000 4.376
S In Re Cl
1 1 2 1
Direct
0.000 0.000 0.000 S
0.500 0.500 0.500 In
0.500 0.000 0.000 Re
0.000 0.000 0.500 Re
0.000 0.500 0.000 Cl
```

**Formation energy from raw total energies**: 1.041 eV per atom
**Fermi-level density of states**: 5.272 states/eV/cell